{"formula": "LaBeZn2Au4", "functional": "PBE", "state": "relaxed", "lattice_angstrom": [[-1.028, -3.795, -2.097], [-0.295, -3.806, 2.298], [-8.916, -1.021, 1.485]], "species": ["La", "Be", "Zn", "Zn", "Au", "Au", "Au", "Au"], "frac_coords": [[0.000, 0.000, 0.000], [0.500, 0.500, 0.500], [0.758, 0.758, 0.725], [0.242, 0.242, 0.275], [0.405, 0.405, 0.785], [0.863, 0.863, 0.410], [0.137, 0.137, 0.590], [0.595, 0.595, 0.215]], "sg": "R-3m", "total_magnetization_mub_per_atom": 0.000, "dft_energy_ev_per_atom": -3.42, "formation_enthalpy_0k_mev_per_atom": -381}

---

{"formula": "AlInIO2", "functional": "PBE", "state": "relaxed", "lattice_angstrom": [[-0.243, 3.883, -0.840], [0.078, -0.837, -3.890], [-5.618, -0.359, -0.035]], "species": ["I", "Al", "O", "O", "In"], "frac_coords": [[0.000, 0.000, 0.500], [0.000, 0.000, 0.000], [0.000, 0.500, 0.000], [0.500, 0.000, 0.000], [0.500, 0.500, 0.500]], "e_form_raw_ev_per_fu": -3.8, "sg": "P4/mmm", "total_magnetization_mub_per_atom": 0.059, "dft_energy_ev_per_atom": -4.35}

---

{"formula": "Rb2ErPuTe4", "functional": "PBE", "state": "relaxed", "lattice_angstrom": [[-2.632, 3.474, -1.321], [-0.219, -2.956, -7.336], [-6.871, -3.513, 4.455]], "species": ["Rb", "Rb", "Er", "Pu", "Te", "Te", "Te", "Te"], "frac_coords": [[0.500, 0.000, 0.500], [0.000, 0.500, 0.500], [0.500, 0.500, 0.000], [0.000, 0.000, 0.000], [0.500, 0.238, 0.199], [0.500, 0.762, 0.801], [0.000, 0.273, 0.802], [0.000, 0.727, 0.198]], "e_form_raw_ev_per_fu": -9.8, "sg": "P2/m", "total_magnetization_mub_per_atom": 0.625, "dft_energy_ev_per_atom": -5.40}

---

{"formula": "DyAlRh2", "functional": "PBE", "state": "relaxed", "lattice_angstrom": [[3.408, 0.000, 0.000], [0.000, 4.435, 0.000], [0.000, 0.000, 4.435]], "species": ["Rh", "Rh", "Al", "Dy"], "frac_coords": [[0.000, 0.000, 0.500], [0.000, 0.500, 0.000], [0.500, 0.000, 0.000], [0.500, 0.500, 0.500]], "sg": "P4/mmm", "total_magnetization_mub_per_atom": 0.000, "dft_energy_ev_per_atom": -6.66, "formation_enthalpy_0k_mev_per_atom": -901}

---

{"formula": "TiRhN2", "functional": "PBE", "state": "relaxed", "lattice_angstrom": [[-0.282, 2.370, 3.897], [-2.908, -3.101, 1.675], [2.019, -2.811, 4.534]], "species": ["N", "N", "N", "N", "Rh", "Rh", "Ti", "Ti"], "frac_coords": [[0.608, 0.125, 0.250], [0.142, 0.625, 0.250], [0.375, 0.392, 0.750], [0.875, 0.858, 0.750], [0.000, 0.000, 0.000], [0.750, 0.250, 0.500], [0.500, 0.500, 0.000], [0.250, 0.750, 0.500]], "e_form_raw_ev_per_fu": -1.9, "sg": "I-42d", "total_magnetization_mub_per_atom": 0.000, "dft_energy_ev_per_atom": -8.45}

---

{"formula": "SrAlZn2", "functional": "PBE", "state": "relaxed", "lattice_angstrom": [[-1.051, -4.807, 1.383], [-0.672, -1.489, -4.843], [4.207, 2.057, 2.049]], "species": ["Sr", "Zn", "Zn", "Al"], "frac_coords": [[0.252, 0.752, 0.500], [0.953, 0.953, 0.000], [0.750, 0.250, 0.500], [0.545, 0.545, 0.000]], "sg": "Imm2", "total_magnetization_mub_per_atom": 0.000, "dft_energy_ev_per_atom": -1.99, "formation_enthalpy_0k_mev_per_atom": 5}

---

{"formula": "Ir4Ru2Rh5", "functional": "PBE", "state": "relaxed", "lattice_angstrom": [[2.713, 0.000, 0.000], [0.000, 6.766, -0.102], [0.000, 0.879, 8.749]], "species": ["Ir", "Ir", "Ir", "Ir", "Ru", "Ru", "Rh", "Rh", "Rh", "Rh", "Rh"], "frac_coords": [[0.500, 0.273, 0.564], [0.500, 0.821, 0.888], [0.500, 0.727, 0.436], [0.500, 0.179, 0.112], [0.000, 0.935, 0.637], [0.000, 0.065, 0.363], [0.000, 0.442, 0.303], [0.000, 0.820, 0.157], [0.000, 0.500, 0.000], [0.000, 0.180, 0.843], [0.000, 0.558, 0.697]], "sg": "P2/m", "total_magnetization_mub_per_atom": 0.000, "dft_energy_ev_per_atom": -8.11, "formation_enthalpy_0k_mev_per_atom": 139}

---

{"formula": "CuAg2HCl6", "functional": "PBE", "state": "relaxed", "lattice_angstrom": [[-5.315, -4.371, 2.785], [3.998, -3.157, 2.675], [-0.717, 6.298, 8.505]], "species": ["Cu", "Cu", "Ag", "Ag", "Ag", "Ag", "H", "H", "Cl", "Cl", "Cl", "Cl", "Cl", "Cl", "Cl", "Cl", "Cl", "Cl", "Cl", "Cl"], "frac_coords": [[0.000, 0.500, 0.500], [0.500, 0.000, 0.000], [0.999, 0.999, 0.187], [0.501, 0.499, 0.313], [0.499, 0.501, 0.687], [0.001, 0.001, 0.813], [0.000, 0.500, 0.000], [0.500, 0.000, 0.500], [0.866, 0.285, 0.649], [0.884, 0.274, 0.000], [0.866, 0.283, 0.352], [0.634, 0.783, 0.148], [0.616, 0.774, 0.500], [0.634, 0.785, 0.851], [0.366, 0.215, 0.149], [0.384, 0.226, 0.500], [0.366, 0.217, 0.852], [0.116, 0.726, 0.000], [0.134, 0.717, 0.648], [0.134, 0.715, 0.351]], "sg": "P2_1/c", "total_magnetization_mub_per_atom": 0.000, "dft_energy_ev_per_atom": -2.84}

---

{"formula": "CsCaTa3", "functional": "PBE", "state": "relaxed", "lattice_angstrom": [[-0.272, -2.246, -4.662], [-3.596, -3.275, 1.787], [-3.721, 3.329, -1.386]], "species": ["Cs", "Ca", "Ta", "Ta", "Ta"], "frac_coords": [[0.500, 0.500, 0.500], [0.000, 0.000, 0.000], [0.000, 0.500, 0.000], [0.000, 0.000, 0.500], [0.500, 0.000, 0.000]], "sg": "Pm-3m", "total_magnetization_mub_per_atom": 0.000, "dft_energy_ev_per_atom": -4.78, "formation_enthalpy_0k_mev_per_atom": 2900}

---

{"formula": "Ac2UPdPt6", "functional": "PBE", "state": "relaxed", "lattice_angstrom": [[7.114, 0.000, 0.000], [0.000, 7.114, 0.000], [3.557, 3.557, 5.031]], "species": ["Ac", "Ac", "U", "Pd", "Pt", "Pt", "Pt", "Pt", "Pt", "Pt"], "frac_coords": [[0.250, 0.750, 0.500], [0.750, 0.250, 0.500], [0.500, 0.500, 0.000], [0.000, 0.000, 0.000], [0.250, 0.750, 0.000], [0.750, 0.750, 0.000], [0.250, 0.250, 0.500], [0.750, 0.250, 0.000], [0.250, 0.250, 0.000], [0.750, 0.750, 0.500]], "sg": "Fm-3m", "total_magnetization_mub_per_atom": 0.000, "dft_energy_ev_per_atom": -6.48, "formation_enthalpy_0k_mev_per_atom": -383}

---

{"formula": "Te3MoI", "functional": "PBE", "state": "relaxed", "lattice_angstrom": [[5.808, 0.000, 0.000], [0.000, 5.808, 0.000], [0.000, 0.000, 5.808]], "species": ["I", "Mo", "Te", "Te", "Te"], "frac_coords": [[0.000, 0.000, 0.000], [0.500, 0.500, 0.500], [0.000, 0.500, 0.000], [0.000, 0.000, 0.500], [0.500, 0.000, 0.000]], "e_form_raw_ev_per_fu": 7.6, "sg": "Pm-3m", "total_magnetization_mub_per_atom": 0.768, "dft_energy_ev_per_atom": -2.85}

---

{"formula": "Li2PmSi4", "functional": "PBE", "state": "relaxed", "lattice_angstrom": [[-4.572, 1.640, 2.786], [-4.315, -3.304, 0.490], [-0.498, -0.927, 5.354]], "species": ["Li", "Li", "Pm", "Si", "Si", "Si", "Si"], "frac_coords": [[0.750, 0.500, 0.500], [0.250, 0.500, 0.500], [0.000, 0.000, 0.000], [0.683, 0.000, 0.634], [0.317, 0.000, 0.366], [0.317, 0.366, 0.000], [0.683, 0.634, 0.000]], "e_form_raw_ev_per_fu": -1.9, "sg": "I4/mmm", "total_magnetization_mub_per_atom": 0.000, "dft_energy_ev_per_atom": -4.59}

---

{"formula": "Nd4GaPtCl2", "functional": "PBE", "state": "relaxed", "lattice_angstrom": [[-0.286, 4.071, -0.190], [-1.235, -0.428, -7.303], [-7.513, -0.582, -1.180]], "species": ["Nd", "Nd", "Nd", "Nd", "Ga", "Pt", "Cl", "Cl"], "frac_coords": [[0.000, 0.720, 0.764], [0.000, 0.280, 0.236], [0.500, 0.742, 0.244], [0.500, 0.258, 0.756], [0.000, 0.500, 0.500], [0.500, 0.500, 0.000], [0.000, 0.000, 0.000], [0.500, 0.000, 0.500]], "e_form_raw_ev_per_fu": -9.1, "sg": "P2/m", "total_magnetization_mub_per_atom": 0.000, "dft_energy_ev_per_atom": -5.12}

---

{"formula": "CaAsS2N", "functional": "PBE", "state": "relaxed", "lattice_angstrom": [[5.272, 0.000, 0.000], [0.000, 5.272, 0.000], [0.000, 0.000, 4.377]], "species": ["S", "S", "As", "Ca", "N"], "frac_coords": [[0.000, 0.500, 0.000], [0.500, 0.000, 0.000], [0.500, 0.500, 0.500], [0.000, 0.000, 0.000], [0.000, 0.000, 0.500]], "e_form_raw_ev_per_fu": 4.7, "sg": "P4/mmm", "total_magnetization_mub_per_atom": 0.458, "dft_energy_ev_per_atom": -3.70}

---

{"formula": "NaSm2Y3Te6", "functional": "PBE", "state": "relaxed", "lattice_angstrom": [[4.389, 0.000, 0.000], [0.000, 8.879, 0.295], [-2.195, -2.583, 9.300]], "species": ["Na", "Sm", "Sm", "Y", "Y", "Y", "Te", "Te", "Te", "Te", "Te", "Te"], "frac_coords": [[0.500, 0.000, 0.000], [0.829, 0.656, 0.658], [0.171, 0.344, 0.342], [0.500, 0.500, 0.000], [0.834, 0.173, 0.668], [0.166, 0.827, 0.332], [0.332, 0.920, 0.664], [0.663, 0.588, 0.326], [0.668, 0.080, 0.336], [0.000, 0.253, 0.001], [0.000, 0.747, 0.999], [0.337, 0.412, 0.674]], "e_form_raw_ev_per_fu": -16.2, "sg": "C2/m", "total_magnetization_mub_per_atom": 0.000, "dft_energy_ev_per_atom": -5.44}

---

{"formula": "LiYb4Ti2O10", "functional": "PBE", "state": "relaxed", "lattice_angstrom": [[-3.966, 3.691, -3.076], [-1.877, -0.354, -5.930], [-6.591, -3.405, 0.001]], "species": ["Li", "Yb", "Yb", "Yb", "Yb", "Ti", "Ti", "O", "O", "O", "O", "O", "O", "O", "O", "O", "O"], "frac_coords": [[0.229, 0.771, 0.500], [0.405, 0.244, 0.576], [0.306, 0.370, 0.069], [0.756, 0.595, 0.424], [0.630, 0.694, 0.931], [0.997, 0.015, 0.230], [0.985, 0.003, 0.770], [0.162, 0.607, 0.752], [0.642, 0.103, 0.261], [0.121, 0.597, 0.364], [0.403, 0.879, 0.636], [0.629, 0.065, 0.862], [0.935, 0.371, 0.138], [0.393, 0.838, 0.248], [0.875, 0.125, 0.500], [0.897, 0.358, 0.739], [0.160, 0.840, 0.000]], "e_form_raw_ev_per_fu": -47.3, "sg": "C2", "total_magnetization_mub_per_atom": 0.184, "dft_energy_ev_per_atom": -7.10}

---

{"formula": "ZnCrBi2Os", "functional": "PBE", "state": "relaxed", "lattice_angstrom": [[5.272, 0.000, 0.000], [0.000, 4.948, 0.000], [0.000, 0.000, 5.272]], "species": ["Cr", "Zn", "Os", "Bi", "Bi"], "frac_coords": [[0.000, 0.500, 0.000], [0.500, 0.500, 0.500], [0.000, 0.000, 0.000], [0.000, 0.000, 0.500], [0.500, 0.000, 0.000]], "sg": "P4/mmm", "total_magnetization_mub_per_atom": 0.770, "dft_energy_ev_per_atom": -5.04, "formation_enthalpy_0k_mev_per_atom": 938}

---

{"formula": "BeCr2Cd", "functional": "PBE", "state": "relaxed", "lattice_angstrom": [[4.659, 0.164, 0.000], [1.249, 4.491, 0.000], [-2.954, -2.327, 2.755]], "species": ["Cr", "Cr", "Be", "Cd"], "frac_coords": [[0.000, 0.000, 0.000], [0.250, 0.750, 0.500], [0.500, 0.500, 0.000], [0.750, 0.250, 0.500]], "sg": "I-4m2", "total_magnetization_mub_per_atom": 0.019, "dft_energy_ev_per_atom": -5.50, "formation_enthalpy_0k_mev_per_atom": 469}

---

{"formula": "ErThIrPd", "functional": "PBE", "state": "relaxed", "lattice_angstrom": [[4.999, 0.000, 0.000], [2.500, 4.330, 0.000], [2.500, 1.443, 4.082]], "species": ["Ir", "Pd", "Th", "Er"], "frac_coords": [[0.500, 0.500, 0.500], [0.000, 0.000, 0.000], [0.750, 0.750, 0.750], [0.250, 0.250, 0.250]], "sg": "F-43m", "total_magnetization_mub_per_atom": 0.000, "dft_energy_ev_per_atom": -7.33, "formation_enthalpy_0k_mev_per_atom": -817}

---

{"formula": "TlVPd2C", "functional": "PBE", "state": "relaxed", "lattice_angstrom": [[-4.975, 0.254, 1.032], [0.775, -0.790, 3.931], [0.444, 4.985, 0.914]], "species": ["Tl", "C", "Pd", "Pd", "V"], "frac_coords": [[0.000, 0.000, 0.000], [0.000, 0.500, 0.000], [0.000, 0.000, 0.500], [0.500, 0.000, 0.000], [0.500, 0.500, 0.500]], "sg": "P4/mmm", "total_magnetization_mub_per_atom": 0.030, "dft_energy_ev_per_atom": -4.15, "formation_enthalpy_0k_mev_per_atom": 2074}